Entry 1:
## BeCu2As (PBE)

Data for a relaxed structure of BeCu2As.

Cell lengths 5.8893, 5.8893, 5.8893 Å; angles 90.00, 90.00, 90.00 degrees
With the nearest neighbours (Å) after each atom.
Space group Pm-3m (No. 221)
One atom of each set of equivalent atoms:
Be (0.0000, 0.0000, 0.0000) (multiplicity 1)  8 Cu 2.26
Be (0.0000, 0.0000, 0.5000) (multiplicity 3)  8 Cu 2.47
Cu (0.2219, 0.2219, 0.2219) (multiplicity 8)  4 Be 2.26-2.47
As (0.0000, 0.5000, 0.5000) (multiplicity 3)  8 Cu 2.66, 2 As 2.94, 4 Be 2.94
As (0.5000, 0.5000, 0.5000) (multiplicity 1)  8 Cu 2.84, 6 As 2.94

Uncorrected energy, eV/f.u.: -15.1
Excess energy over the best structure of this formula in the dataset, eV/atom: 0.000

=====

Entry 2:
## Cs3Nd5O9 (PBE)

Data for a relaxed structure of Cs3Nd5O9.

Cell lengths 9.0393, 9.0393, 6.7936 Å; angles 90.00, 90.00, 120.00 degrees
With the nearest neighbours (Å) after each atom.
Space group P31m (No. 157)
One atom of each set of equivalent atoms:
Cs (0.0000, 0.4631, 0.0000) (multiplicity 3)  5 O 2.82-3.06
Nd (0.0000, 0.7574, 0.5703) (multiplicity 3)  3 O 2.11-2.12
Nd (0.3333, 0.6667, 0.5550) (multiplicity 2)  3 O 2.23
O (0.0000, 0.5636, 0.3977) (multiplicity 3)  1 Nd 2.11
O (0.2059, 0.7756, 0.7382) (multiplicity 6)  2 Nd 2.12-2.23

Uncorrected energy, eV/f.u.: -109.1

=====

Entry 3:
## Gd2ErMg3CdGa2 (PBE)

Data for a relaxed structure of Gd2ErMg3CdGa2.

Cell lengths 4.4788, 12.7337, 7.4140 Å; angles 90.00, 90.00, 90.00 degrees
With the nearest neighbours (Å) after each atom.
Space group Amm2 (No. 38)
One atom of each set of equivalent atoms:
Gd (0.0000, 0.2154, 0.0000) (multiplicity 4)  4 Ga 3.14, 1 Cd 3.19, 2 Mg 3.25
Er (0.0000, 0.0000, 0.3527) (multiplicity 2)  4 Ga 3.11, 1 Cd 3.17, 2 Mg 3.26
Mg (0.5000, 0.0000, 0.0325) (multiplicity 2)  2 Ga 2.82, 2 Cd 2.92
Mg (0.5000, 0.1245, 0.6589) (multiplicity 4)  2 Ga 2.82-2.83, 2 Cd 2.89
Cd (0.0000, 0.0000, 0.7799) (multiplicity 2)  6 Mg 2.89-2.92, 1 Er 3.17, 2 Gd 3.19
Ga (0.5000, 0.1653, 0.2848) (multiplicity 4)  3 Mg 2.82-2.83, 2 Er 3.11, 4 Gd 3.14

Uncorrected energy, eV/f.u.: -29.4

=====

Entry 4:
## AcDyPO (PBE)

Data for a relaxed structure of AcDyPO.

Cell lengths 4.6332, 4.6332, 8.5457 Å; angles 90.00, 90.00, 90.00 degrees
With the nearest neighbours (Å) after each atom.
Space group P4/nmm (No. 129, origin choice 2)
One atom of each set of equivalent atoms:
Ac (0.2500, 0.7500, 0.0000) (multiplicity 2)  4 P 2.99, 4 Ac 3.28
Dy (0.2500, 0.2500, 0.4365) (multiplicity 2)  4 O 2.38
P (0.2500, 0.2500, 0.7793) (multiplicity 2)  1 Dy 2.93, 4 Ac 2.99
O (0.2500, 0.7500, 0.5000) (multiplicity 2)  4 Dy 2.38

Uncorrected energy, eV/f.u.: -25.5
Excess energy over the best structure of this formula in the dataset, eV/atom: 0.441

=====

Entry 5:
## InSb5W3 (PBE)

Data for a relaxed structure of InSb5W3.

Cell lengths 5.5780, 5.5780, 8.4742 Å; angles 90.00, 90.00, 120.00 degrees
With the nearest neighbours (Å) after each atom.
Space group P6/mmm (No. 191)
One atom of each set of equivalent atoms:
In (0.0000, 0.0000, 0.0000) (multiplicity 1)  12 Sb 3.71
Sb (0.0000, 0.0000, 0.5000) (multiplicity 1)  6 W 2.79
Sb (0.3333, 0.6667, 0.2162) (multiplicity 4)  3 W 2.89, 3 Sb 3.22
W (0.0000, 0.5000, 0.5000) (multiplicity 3)  4 W 2.79, 6 Sb 2.79-2.89

Uncorrected energy, eV/f.u.: -59.4

=====

Entry 6:
## TcF4 (PBE)

Data for a relaxed structure of TcF4.

Cell lengths 5.0121, 4.8315, 5.3224 Å; angles 90.00, 119.00, 90.00 degrees
With the nearest neighbours (Å) after each atom.
Space group P2_1/c (No. 14)
One atom of each set of equivalent atoms:
Tc (0.0000, 0.0000, 0.0000) (multiplicity 2)  6 F 1.89-1.99
F (0.1345, 0.1560, 0.3874) (multiplicity 4)  2 Tc 1.98-1.99
F (0.3805, 0.6715, 0.6185) (multiplicity 4)  1 Tc 1.89

Uncorrected energy, eV/f.u.: -27.2
Excess energy over the best structure of this formula in the dataset, eV/atom: 0.056

=====

Entry 7:
## Cs4Zn2SnGe (PBE)

Data for a relaxed structure of Cs4Zn2SnGe.

Cell lengths 6.9032, 11.8758, 8.2317 Å; angles 90.00, 90.00, 90.00 degrees
With the nearest neighbours (Å) after each atom.
Space group Amm2 (No. 38)
One atom of each set of equivalent atoms:
Cs (0.0000, 0.1636, 0.0000) (multiplicity 4)  2 Zn 3.82, 1 Cs 3.89, 2 Sn 4.02-4.14, 2 Ge 4.05
Cs (0.5000, 0.1693, 0.3073) (multiplicity 4)  4 Zn 3.94-4.38, 2 Ge 3.94-3.99, 5 Cs 4.02-4.29, 2 Sn 4.15
Zn (0.2700, 0.0000, 0.6711) (multiplicity 4)  1 Ge 2.43, 1 Sn 2.64
Sn (0.0000, 0.0000, 0.4434) (multiplicity 2)  2 Zn 2.64
Ge (0.5000, 0.0000, 0.8952) (multiplicity 2)  2 Zn 2.43

Uncorrected energy, eV/f.u.: -15.8

=====

Entry 8:
## NaPr3Se4 (PBE)

Data for a relaxed structure of NaPr3Se4.

Cell lengths 8.5486, 12.0350, 4.2459 Å; angles 90.00, 90.00, 90.00 degrees
With the nearest neighbours (Å) after each atom.
Space group Cmmm (No. 65)
One atom of each set of equivalent atoms:
Na (0.0000, 0.0000, 0.0000) (multiplicity 2)  6 Se 2.98-3.01
Pr (0.0000, 0.5000, 0.0000) (multiplicity 2)  6 Se 3.01-3.04
Pr (0.2500, 0.2500, 0.5000) (multiplicity 4)  6 Se 3.01
Se (0.0000, 0.2477, 0.0000) (multiplicity 4)  1 Na 2.98, 5 Pr 3.01-3.04
Se (0.2496, 0.0000, 0.5000) (multiplicity 4)  4 Pr 3.01, 2 Na 3.01

Uncorrected energy, eV/f.u.: -43.8

=====

Entry 9:
## LiMgTlHg (PBE)

Data for a relaxed structure of LiMgTlHg.

Cell lengths 6.9958, 6.9958, 6.9958 Å; angles 90.00, 90.00, 90.00 degrees
With the nearest neighbours (Å) after each atom.
Space group F-43m (No. 216)
One atom of each set of equivalent atoms:
Li (0.0000, 0.0000, 0.0000) (multiplicity 4)  4 Hg 3.03, 4 Tl 3.03
Mg (0.0000, 0.0000, 0.5000) (multiplicity 4)  4 Tl 3.03, 4 Hg 3.03
Tl (0.2500, 0.2500, 0.2500) (multiplicity 4)  4 Li 3.03, 4 Mg 3.03
Hg (0.2500, 0.2500, 0.7500) (multiplicity 4)  4 Li 3.03, 4 Mg 3.03

Uncorrected energy, eV/f.u.: -7.0
Excess energy over the best structure of this formula in the dataset, eV/atom: 0.016

=====

Entry 10:
## YAg3Te3 (PBE)

Data for a relaxed structure of YAg3Te3.

Cell lengths 7.8394, 7.8394, 21.9401 Å; angles 90.00, 90.00, 120.00 degrees
With the nearest neighbours (Å) after each atom.
Space group R-3 (No. 148, hexagonal axes)
One atom of each set of equivalent atoms:
Y (0.0000, 0.0000, 0.1675) (multiplicity 6)  6 Te 3.10-3.12
Ag (0.0042, 0.3596, 0.3712) (multiplicity 18)  4 Te 2.80-2.96, 2 Ag 3.04
Te (0.0000, 0.3213, 0.5734) (multiplicity 18)  4 Ag 2.80-2.96, 2 Y 3.10-3.12

Uncorrected energy, eV/f.u.: -28.3

=====

Entry 11:
## DyIrPb (PBE)

Data for a relaxed structure of DyIrPb.

Cell lengths 6.7068, 6.7068, 6.7068 Å; angles 90.00, 90.00, 90.00 degrees
With the nearest neighbours (Å) after each atom.
Space group F-43m (No. 216)
One atom of each set of equivalent atoms:
Dy (0.0000, 0.0000, 0.0000) (multiplicity 4)  4 Pb 2.90
Ir (0.0000, 0.0000, 0.5000) (multiplicity 4)  4 Pb 2.90
Pb (0.2500, 0.2500, 0.2500) (multiplicity 4)  4 Dy 2.90, 4 Ir 2.90

Uncorrected energy, eV/f.u.: -16.7

=====

Entry 12:
## NiAgHgGe (PBE)

Data for a relaxed structure of NiAgHgGe.

Cell lengths 6.5269, 6.5269, 6.5269 Å; angles 90.00, 90.00, 90.00 degrees
With the nearest neighbours (Å) after each atom.
Space group F-43m (No. 216)
One atom of each set of equivalent atoms:
Ni (0.0000, 0.0000, 0.0000) (multiplicity 4)  4 Ag 2.83, 4 Ge 2.83
Ag (0.2500, 0.2500, 0.2500) (multiplicity 4)  4 Hg 2.83, 4 Ni 2.83
Hg (0.0000, 0.0000, 0.5000) (multiplicity 4)  4 Ge 2.83, 4 Ag 2.83
Ge (0.2500, 0.2500, 0.7500) (multiplicity 4)  4 Ni 2.83, 4 Hg 2.83

Uncorrected energy, eV/f.u.: -12.2